No. 1
{"formula": "TbGa2Co3", "functional": "GGA-PBE", "state": "optimized geometry", "cell": [[8.802, 0.000, 0.000], [-4.401, 7.623, 0.000], [0.000, 0.000, 4.018]], "species": ["Tb", "Tb", "Tb", "Ga", "Ga", "Ga", "Ga", "Ga", "Ga", "Co", "Co", "Co", "Co", "Co", "Co", "Co", "Co", "Co"], "fractional_positions": [[0.000, 0.000, 0.000], [0.333, 0.667, 0.000], [0.667, 0.333, 0.000], [0.174, 0.348, 0.500], [0.174, 0.826, 0.500], [0.348, 0.174, 0.500], [0.652, 0.826, 0.500], [0.826, 0.174, 0.500], [0.826, 0.652, 0.500], [0.000, 0.346, 0.000], [0.000, 0.500, 0.500], [0.000, 0.654, 0.000], [0.346, 0.000, 0.000], [0.346, 0.346, 0.000], [0.500, 0.000, 0.500], [0.500, 0.500, 0.500], [0.654, 0.000, 0.000], [0.654, 0.654, 0.000]], "dos_at_fermi_per_ev_fu": 6.7, "delta_e_f_ev_per_atom": -0.341, "space_group": "P6/mmm", "de_polymorph_mev_per_atom": 36, "vol_a3_per_cell": 269.63, "m_tot_mub_per_atom": 0.41}

No. 2
{"formula": "Tb3GaCo8", "functional": "GGA-PBE", "state": "optimized geometry", "cell": [[2.496, 1.441, 8.175], [-2.496, 1.441, 8.175], [0.000, -2.882, 8.175]], "species": ["Tb", "Tb", "Tb", "Ga", "Co", "Co", "Co", "Co", "Co", "Co", "Co", "Co"], "fractional_positions": [[0.000, 0.000, 0.000], [0.128, 0.128, 0.128], [0.510, 0.510, 0.510], [0.632, 0.632, 0.632], [0.060, 0.566, 0.566], [0.067, 0.067, 0.570], [0.067, 0.570, 0.067], [0.315, 0.315, 0.315], [0.566, 0.060, 0.566], [0.566, 0.566, 0.060], [0.570, 0.067, 0.067], [0.816, 0.816, 0.816]], "dos_at_fermi_per_ev_fu": 17.6, "delta_e_f_ev_per_atom": -0.173, "space_group": "R3m", "vol_a3_per_cell": 176.37, "m_tot_mub_per_atom": 0.69}

No. 3
{"formula": "Tb3Ga7Co2", "functional": "GGA-PBE", "state": "optimized geometry", "cell": [[2.240, -11.246, 0.000], [2.240, 11.246, 0.000], [0.000, 0.000, 4.506]], "species": ["Tb", "Tb", "Tb", "Ga", "Ga", "Ga", "Ga", "Ga", "Ga", "Ga", "Co", "Co"], "fractional_positions": [[0.000, 0.000, 0.000], [0.185, 0.815, 0.000], [0.815, 0.185, 0.000], [0.094, 0.906, 0.500], [0.284, 0.716, 0.500], [0.407, 0.593, 0.000], [0.500, 0.500, 0.500], [0.593, 0.407, 0.000], [0.716, 0.284, 0.500], [0.906, 0.094, 0.500], [0.391, 0.609, 0.500], [0.609, 0.391, 0.500]], "dos_at_fermi_per_ev_fu": 8.0, "delta_e_f_ev_per_atom": -0.460, "space_group": "Cmmm", "de_polymorph_mev_per_atom": 0, "vol_a3_per_cell": 227.04, "m_tot_mub_per_atom": 0.00}

No. 4
{"formula": "Tb2Ga8Co", "functional": "GGA-PBE", "state": "optimized geometry", "cell": [[4.246, 0.000, 0.000], [0.000, 4.246, 0.000], [0.000, 0.000, 11.144]], "species": ["Tb", "Tb", "Ga", "Ga", "Ga", "Ga", "Ga", "Ga", "Ga", "Ga", "Co"], "fractional_positions": [[0.000, 0.000, 0.195], [0.000, 0.000, 0.805], [0.000, 0.500, 0.000], [0.000, 0.500, 0.385], [0.000, 0.500, 0.615], [0.500, 0.000, 0.000], [0.500, 0.000, 0.385], [0.500, 0.000, 0.615], [0.500, 0.500, 0.194], [0.500, 0.500, 0.806], [0.000, 0.000, 0.500]], "dos_at_fermi_per_ev_fu": 4.6, "delta_e_f_ev_per_atom": -0.492, "space_group": "P4/mmm", "vol_a3_per_cell": 200.89, "m_tot_mub_per_atom": 0.00}

No. 5
{"formula": "Tb3GaCo", "functional": "GGA-PBE", "state": "optimized geometry", "cell": [[7.924, -1.847, 0.000], [7.924, 1.847, 0.000], [-0.310, 0.000, 8.347]], "species": ["Tb", "Tb", "Tb", "Tb", "Tb", "Tb", "Ga", "Ga", "Co", "Co"], "fractional_positions": [[0.052, 0.052, 0.197], [0.250, 0.250, 0.798], [0.396, 0.396, 0.449], [0.604, 0.604, 0.551], [0.750, 0.750, 0.202], [0.948, 0.948, 0.803], [0.392, 0.392, 0.078], [0.608, 0.608, 0.922], [0.213, 0.213, 0.442], [0.787, 0.787, 0.558]], "dos_at_fermi_per_ev_fu": 6.1, "delta_e_f_ev_per_atom": -0.292, "space_group": "C2/m", "de_polymorph_mev_per_atom": 23, "vol_a3_per_cell": 244.37, "m_tot_mub_per_atom": 0.00}

No. 6
{"formula": "Tb4Ga12Co", "functional": "GGA-PBE", "state": "optimized geometry", "cell": [[-4.295, 4.295, 4.295], [4.295, -4.295, 4.295], [4.295, 4.295, -4.295]], "species": ["Tb", "Tb", "Tb", "Tb", "Ga", "Ga", "Ga", "Ga", "Ga", "Ga", "Ga", "Ga", "Ga", "Ga", "Ga", "Ga", "Co"], "fractional_positions": [[0.000, 0.000, 0.500], [0.000, 0.500, 0.000], [0.500, 0.000, 0.000], [0.500, 0.500, 0.500], [0.000, 0.282, 0.282], [0.000, 0.718, 0.718], [0.250, 0.500, 0.750], [0.250, 0.750, 0.500], [0.282, 0.000, 0.282], [0.282, 0.282, 0.000], [0.500, 0.250, 0.750], [0.500, 0.750, 0.250], [0.718, 0.000, 0.718], [0.718, 0.718, 0.000], [0.750, 0.250, 0.500], [0.750, 0.500, 0.250], [0.000, 0.000, 0.000]], "dos_at_fermi_per_ev_fu": 8.2, "delta_e_f_ev_per_atom": -0.565, "space_group": "Im-3m", "vol_a3_per_cell": 316.81, "m_tot_mub_per_atom": 0.00}

No. 7
{"formula": "TbGaCo", "functional": "GGA-PBE", "state": "optimized geometry", "cell": [[-1.495, 1.495, 7.049], [1.495, -1.495, 7.049], [1.495, 1.495, -7.049]], "species": ["Tb", "Ga", "Co"], "fractional_positions": [[0.000, 0.000, 0.000], [0.657, 0.657, 0.000], [0.822, 0.822, 0.000]], "dos_at_fermi_per_ev_fu": 2.9, "delta_e_f_ev_per_atom": 0.641, "space_group": "I4mm", "vol_a3_per_cell": 63.06, "m_tot_mub_per_atom": 0.37}

No. 8
{"formula": "Tb4GaCo3", "functional": "GGA-PBE", "state": "optimized geometry", "cell": [[4.001, 0.000, 0.000], [0.000, 4.115, 0.000], [0.000, 0.000, 10.336]], "species": ["Tb", "Tb", "Tb", "Tb", "Ga", "Co", "Co", "Co"], "fractional_positions": [[0.000, 0.000, 0.000], [0.000, 0.500, 0.278], [0.500, 0.000, 0.483], [0.500, 0.500, 0.774], [0.000, 0.000, 0.697], [0.000, 0.500, 0.565], [0.500, 0.000, 0.188], [0.500, 0.500, 0.087]], "dos_at_fermi_per_ev_fu": 7.2, "delta_e_f_ev_per_atom": -0.277, "space_group": "Pmm2", "vol_a3_per_cell": 170.17, "m_tot_mub_per_atom": 0.13}

No. 9
{"formula": "Tb2Ga3Co14", "functional": "GGA-PBE", "state": "optimized geometry", "cell": [[4.192, 2.420, 4.103], [-4.192, 2.420, 4.103], [0.000, -4.840, 4.103]], "species": ["Tb", "Tb", "Ga", "Ga", "Ga", "Co", "Co", "Co", "Co", "Co", "Co", "Co", "Co", "Co", "Co", "Co", "Co", "Co", "Co"], "fractional_positions": [[0.000, 0.000, 0.000], [0.327, 0.327, 0.327], [0.008, 0.008, 0.503], [0.008, 0.503, 0.008], [0.503, 0.008, 0.008], [0.163, 0.655, 0.655], [0.320, 0.320, 0.803], [0.320, 0.803, 0.320], [0.373, 0.657, 0.944], [0.373, 0.944, 0.657], [0.565, 0.565, 0.565], [0.655, 0.163, 0.655], [0.655, 0.655, 0.163], [0.657, 0.373, 0.944], [0.657, 0.944, 0.373], [0.752, 0.752, 0.752], [0.803, 0.320, 0.320], [0.944, 0.373, 0.657], [0.944, 0.657, 0.373]], "dos_at_fermi_per_ev_fu": 20.5, "delta_e_f_ev_per_atom": -0.205, "space_group": "R3m", "vol_a3_per_cell": 249.76, "m_tot_mub_per_atom": 0.93}

No. 10
{"formula": "Tb3Ga9Co2", "functional": "GGA-PBE", "state": "optimized geometry", "cell": [[-2.110, 4.735, 6.120], [2.110, -4.735, 6.120], [2.110, 4.735, -6.120]], "species": ["Tb", "Tb", "Tb", "Ga", "Ga", "Ga", "Ga", "Ga", "Ga", "Ga", "Ga", "Ga", "Co", "Co"], "fractional_positions": [[0.000, 0.000, 0.000], [0.303, 0.303, 0.000], [0.697, 0.697, 0.000], [0.013, 0.652, 0.362], [0.153, 0.870, 0.283], [0.290, 0.652, 0.638], [0.413, 0.130, 0.283], [0.500, 0.000, 0.500], [0.587, 0.870, 0.717], [0.710, 0.348, 0.362], [0.847, 0.130, 0.717], [0.987, 0.348, 0.638], [0.321, 0.500, 0.821], [0.679, 0.500, 0.179]], "dos_at_fermi_per_ev_fu": 5.4, "delta_e_f_ev_per_atom": -0.523, "space_group": "Immm", "vol_a3_per_cell": 244.56, "m_tot_mub_per_atom": 0.00}

No. 11
{"formula": "TbGa3Co", "functional": "GGA-PBE", "state": "optimized geometry", "cell": [[4.537, 0.000, 0.000], [0.000, 4.537, 0.000], [0.000, 0.000, 4.537]], "species": ["Tb", "Ga", "Ga", "Ga", "Co"], "fractional_positions": [[0.000, 0.000, 0.000], [0.000, 0.500, 0.500], [0.500, 0.000, 0.500], [0.500, 0.500, 0.000], [0.500, 0.500, 0.500]], "dos_at_fermi_per_ev_fu": 3.6, "delta_e_f_ev_per_atom": -0.354, "space_group": "Pm-3m", "de_polymorph_mev_per_atom": 171, "vol_a3_per_cell": 93.36, "m_tot_mub_per_atom": 0.00}

No. 12
{"formula": "Tb3GaCo", "functional": "GGA-PBE", "state": "optimized geometry", "cell": [[4.991, -3.149, 0.000], [4.991, 3.149, 0.000], [-3.610, 0.000, 7.651]], "species": ["Tb", "Tb", "Tb", "Tb", "Tb", "Tb", "Ga", "Ga", "Co", "Co"], "fractional_positions": [[0.013, 0.013, 0.226], [0.299, 0.299, 0.668], [0.313, 0.313, 0.138], [0.687, 0.687, 0.862], [0.701, 0.701, 0.332], [0.987, 0.987, 0.774], [0.294, 0.706, 0.500], [0.706, 0.294, 0.500], [0.315, 0.685, 0.000], [0.685, 0.315, 0.000]], "dos_at_fermi_per_ev_fu": 3.8, "delta_e_f_ev_per_atom": -0.315, "space_group": "C2/m", "de_polymorph_mev_per_atom": 0, "vol_a3_per_cell": 240.47, "m_tot_mub_per_atom": 0.00}

No. 13
{"formula": "Tb3Ga2Co", "functional": "GGA-PBE", "state": "optimized geometry", "cell": [[11.786, 0.000, 0.000], [0.000, 4.141, 0.000], [0.000, 0.000, 11.299]], "species": ["Tb", "Tb", "Tb", "Tb", "Tb", "Tb", "Tb", "Tb", "Tb", "Tb", "Tb", "Tb", "Ga", "Ga", "Ga", "Ga", "Ga", "Ga", "Ga", "Ga", "Co", "Co", "Co", "Co"], "fractional_positions": [[0.048, 0.250, 0.128], [0.116, 0.750, 0.555], [0.232, 0.250, 0.797], [0.268, 0.750, 0.297], [0.384, 0.250, 0.055], [0.452, 0.750, 0.628], [0.548, 0.250, 0.372], [0.616, 0.750, 0.945], [0.732, 0.250, 0.703], [0.768, 0.750, 0.203], [0.884, 0.250, 0.445], [0.952, 0.750, 0.872], [0.015, 0.750, 0.310], [0.195, 0.750, 0.998], [0.305, 0.250, 0.498], [0.485, 0.250, 0.810], [0.515, 0.750, 0.190], [0.695, 0.750, 0.502], [0.805, 0.250, 0.002], [0.985, 0.250, 0.690], [0.126, 0.250, 0.378], [0.374, 0.750, 0.878], [0.626, 0.250, 0.122], [0.874, 0.750, 0.622]], "dos_at_fermi_per_ev_fu": 7.1, "delta_e_f_ev_per_atom": -0.478, "space_group": "Pnma", "vol_a3_per_cell": 551.48, "m_tot_mub_per_atom": 0.00}

No. 14
{"formula": "TbGaCo4", "functional": "GGA-PBE", "state": "optimized geometry", "cell": [[0.000, 3.468, 3.468], [3.468, 0.000, 3.468], [3.468, 3.468, 0.000]], "species": ["Tb", "Ga", "Co", "Co", "Co", "Co"], "fractional_positions": [[0.000, 0.000, 0.000], [0.250, 0.250, 0.250], [0.128, 0.624, 0.624], [0.624, 0.128, 0.624], [0.624, 0.624, 0.128], [0.624, 0.624, 0.624]], "dos_at_fermi_per_ev_fu": 8.3, "delta_e_f_ev_per_atom": -0.169, "space_group": "F-43m", "de_polymorph_mev_per_atom": 88, "vol_a3_per_cell": 83.44, "m_tot_mub_per_atom": 0.73}

No. 15
{"formula": "TbGa2Co3", "functional": "GGA-PBE", "state": "optimized geometry", "cell": [[9.006, 0.000, 0.000], [-4.503, 7.799, 0.000], [0.000, 0.000, 3.815]], "species": ["Tb", "Tb", "Tb", "Ga", "Ga", "Ga", "Ga", "Ga", "Ga", "Co", "Co", "Co", "Co", "Co", "Co", "Co", "Co", "Co"], "fractional_positions": [[0.000, 0.000, 0.000], [0.333, 0.667, 0.500], [0.667, 0.333, 0.500], [0.000, 0.318, 0.500], [0.000, 0.682, 0.500], [0.318, 0.000, 0.500], [0.318, 0.318, 0.500], [0.682, 0.000, 0.500], [0.682, 0.682, 0.500], [0.000, 0.500, 0.000], [0.182, 0.365, 0.000], [0.182, 0.818, 0.000], [0.365, 0.182, 0.000], [0.500, 0.000, 0.000], [0.500, 0.500, 0.000], [0.635, 0.818, 0.000], [0.818, 0.182, 0.000], [0.818, 0.635, 0.000]], "dos_at_fermi_per_ev_fu": 4.8, "delta_e_f_ev_per_atom": -0.374, "space_group": "P6/mmm", "de_polymorph_mev_per_atom": 3, "vol_a3_per_cell": 267.97, "m_tot_mub_per_atom": 0.11}

No. 16
{"formula": "Tb3Ga4Co2", "functional": "GGA-PBE", "state": "optimized geometry", "cell": [[5.274, -2.133, 0.000], [5.274, 2.133, 0.000], [-2.256, 0.000, 7.789]], "species": ["Tb", "Tb", "Tb", "Ga", "Ga", "Ga", "Ga", "Co", "Co"], "fractional_positions": [[0.000, 0.000, 0.000], [0.376, 0.376, 0.311], [0.624, 0.624, 0.689], [0.101, 0.101, 0.405], [0.282, 0.282, 0.919], [0.718, 0.718, 0.081], [0.899, 0.899, 0.595], [0.313, 0.313, 0.635], [0.687, 0.687, 0.365]], "dos_at_fermi_per_ev_fu": 6.8, "delta_e_f_ev_per_atom": -0.531, "space_group": "C2/m", "vol_a3_per_cell": 175.28, "m_tot_mub_per_atom": 0.00}

No. 17
{"formula": "Tb4Ga16Co3", "functional": "GGA-PBE", "state": "optimized geometry", "cell": [[6.032, 0.000, 0.000], [0.000, 6.032, 0.000], [0.000, 0.000, 11.139]], "species": ["Tb", "Tb", "Tb", "Tb", "Ga", "Ga", "Ga", "Ga", "Ga", "Ga", "Ga", "Ga", "Ga", "Ga", "Ga", "Ga", "Ga", "Ga", "Ga", "Ga", "Co", "Co", "Co"], "fractional_positions": [[0.000, 0.500, 0.195], [0.000, 0.500, 0.805], [0.500, 0.000, 0.195], [0.500, 0.000, 0.805], [0.000, 0.000, 0.195], [0.000, 0.000, 0.805], [0.220, 0.220, 0.000], [0.220, 0.780, 0.000], [0.251, 0.251, 0.385], [0.251, 0.251, 0.615], [0.251, 0.749, 0.385], [0.251, 0.749, 0.615], [0.500, 0.500, 0.218], [0.500, 0.500, 0.782], [0.749, 0.251, 0.385], [0.749, 0.251, 0.615], [0.749, 0.749, 0.385], [0.749, 0.749, 0.615], [0.780, 0.220, 0.000], [0.780, 0.780, 0.000], [0.000, 0.500, 0.500], [0.500, 0.000, 0.500], [0.500, 0.500, 0.000]], "dos_at_fermi_per_ev_fu": 4.1, "delta_e_f_ev_per_atom": -0.517, "space_group": "P4/mmm", "vol_a3_per_cell": 405.33, "m_tot_mub_per_atom": 0.00}

No. 18
{"formula": "TbGa9Co2", "functional": "GGA-PBE", "state": "optimized geometry", "cell": [[-5.437, 5.437, 3.309], [5.437, -5.437, 3.309], [5.437, 5.437, -3.309]], "species": ["Tb", "Tb", "Ga", "Ga", "Ga", "Ga", "Ga", "Ga", "Ga", "Ga", "Ga", "Ga", "Ga", "Ga", "Ga", "Ga", "Ga", "Ga", "Ga", "Ga", "Co", "Co", "Co", "Co"], "fractional_positions": [[0.375, 0.625, 0.750], [0.625, 0.375, 0.250], [0.119, 0.560, 0.321], [0.119, 0.799, 0.560], [0.125, 0.875, 0.250], [0.201, 0.261, 0.321], [0.201, 0.881, 0.940], [0.261, 0.201, 0.821], [0.261, 0.440, 0.060], [0.440, 0.261, 0.560], [0.440, 0.881, 0.179], [0.560, 0.119, 0.821], [0.560, 0.739, 0.440], [0.739, 0.560, 0.940], [0.739, 0.799, 0.179], [0.799, 0.119, 0.060], [0.799, 0.739, 0.679], [0.875, 0.125, 0.750], [0.881, 0.201, 0.440], [0.881, 0.440, 0.679], [0.000, 0.000, 0.000], [0.000, 0.000, 0.500], [0.000, 0.500, 0.000], [0.500, 0.000, 0.500]], "dos_at_fermi_per_ev_fu": 6.1, "delta_e_f_ev_per_atom": -0.194, "space_group": "I4_1/amd", "vol_a3_per_cell": 391.37, "m_tot_mub_per_atom": 0.00}

No. 19
{"formula": "TbGa8Co4", "functional": "GGA-PBE", "state": "optimized geometry", "cell": [[-4.260, 4.260, 2.588], [4.260, -4.260, 2.588], [4.260, 4.260, -2.588]], "species": ["Tb", "Ga", "Ga", "Ga", "Ga", "Ga", "Ga", "Ga", "Ga", "Co", "Co", "Co", "Co"], "fractional_positions": [[0.000, 0.000, 0.000], [0.000, 0.340, 0.340], [0.000, 0.660, 0.660], [0.276, 0.500, 0.776], [0.340, 0.000, 0.340], [0.500, 0.276, 0.776], [0.500, 0.724, 0.224], [0.660, 0.000, 0.660], [0.724, 0.500, 0.224], [0.000, 0.000, 0.500], [0.000, 0.500, 0.000], [0.500, 0.000, 0.000], [0.500, 0.500, 0.500]], "dos_at_fermi_per_ev_fu": 9.9, "delta_e_f_ev_per_atom": -0.353, "space_group": "I4/mmm", "vol_a3_per_cell": 187.88, "m_tot_mub_per_atom": 0.00}